# 1
BaPaSi2Pt4 (PBE, relaxed); spin magnetization = 0.00 μB per formula unit; energy relative to the elements, uncorrected = -776 meV per atom; density = 11.317 g cm⁻³
1.0
4.0624 0.0000 0.0000
0.0000 4.0624 0.0000
0.0000 0.0000 10.7127
Ba Pa Si Pt
1 1 2 4
Cartesian
0.0000 0.0000 0.0000
0.0000 0.0000 5.3564
2.0312 2.0312 1.9513
2.0312 2.0312 8.7614
0.0000 2.0312 3.2986
0.0000 2.0312 7.4141
2.0312 0.0000 3.2986
2.0312 0.0000 7.4141

# 2
BaPaSi2Pt2 (PBE, relaxed); spin magnetization = 0.00 μB per formula unit; energy relative to the elements, uncorrected = -904 meV per atom; density = 9.853 g cm⁻³
1.0
4.2720 0.0000 0.0000
-2.1360 3.6997 0.0000
0.0000 0.0000 8.6870
Ba Pa Si Pt
1 1 2 2
Cartesian
0.0000 0.0000 0.0000
0.0000 0.0000 4.3435
0.0000 2.4664 6.1832
2.1360 1.2332 2.5037
0.0000 2.4664 2.5511
2.1360 1.2332 6.1359

# 3
Ba2PuPaS6 (PBE, relaxed); spin magnetization = 5.00 μB per formula unit; energy relative to the elements, uncorrected = -1861 meV per atom; density = 5.479 g cm⁻³
1.0
7.2639 0.0000 0.0000
0.0000 7.5410 0.0000
-7.2597 0.0000 10.4251
Ba Pu Pa S
4 2 2 12
Cartesian
-0.1205 0.4515 2.6126
-3.7503 3.3190 7.8252
3.7546 4.2220 2.6000
0.1247 7.0895 7.8125
3.6319 0.0000 0.0000
0.0021 3.7705 5.2126
-3.6298 0.0000 5.2126
0.0000 3.7705 0.0000
-5.8074 1.5907 9.9276
-2.1775 2.1798 4.7150
-5.1406 5.2836 9.9622
-1.5108 6.0279 4.7496
-3.0005 0.1786 7.7718
0.6293 3.5919 2.5592
-0.6251 3.9491 7.8659
3.0047 7.3624 2.6534
1.5150 1.5131 5.6755
5.1448 2.2574 0.4629
2.1818 5.3612 5.7101
5.8116 5.9503 0.4976

# 4
Ba2PuPaSe6 (PBE, relaxed); spin magnetization = 5.00 μB per formula unit; energy relative to the elements, uncorrected = -1688 meV per atom; density = 6.273 g cm⁻³
1.0
7.4826 0.0000 0.0000
0.0000 7.9499 0.0000
-7.4759 0.0000 10.8887
Ba Pu Pa Se
4 2 2 12
Cartesian
-0.1718 0.5856 2.7171
-3.9098 3.3893 8.1615
3.9165 4.5606 2.7273
0.1785 7.3643 8.1717
-3.7380 0.0000 5.4444
0.0000 3.9749 0.0000
3.7413 0.0000 0.0000
0.0033 3.9749 5.4444
-5.9820 1.5464 10.3765
-2.2441 2.4285 4.9321
-5.1711 5.6089 10.3432
-1.4332 6.3160 4.8988
-3.0441 0.1783 8.2140
0.6939 3.7967 2.7696
-0.6872 4.1532 8.1191
3.0507 7.7716 2.6748
1.4398 1.6339 5.9899
5.1778 2.3410 0.5455
2.2507 5.5214 5.9566
5.9887 6.4035 0.5123

# 5
Rb2BaPa2S7 (PBE, relaxed); spin magnetization = 0.00 μB per formula unit; energy relative to the elements, uncorrected = -1663 meV per atom; density = 4.346 g cm⁻³
1.0
-2.6414 2.6414 13.6205
2.6414 -2.6414 13.6205
2.6414 2.6414 -13.6205
Rb Ba Pa S
2 1 2 7
Cartesian
0.0000 0.0000 5.0847
0.0000 0.0000 22.1562
0.0000 0.0000 0.0000
0.0000 0.0000 10.9623
0.0000 0.0000 16.2786
2.6414 0.0000 2.3766
0.0000 0.0000 8.4731
2.6414 0.0000 11.2439
0.0000 0.0000 13.6205
0.0000 2.6414 2.3766
0.0000 0.0000 18.7678
0.0000 2.6414 11.2439

# 6
RbBaPaS4 (PBE, relaxed); spin magnetization = 0.00 μB per formula unit; energy relative to the elements, uncorrected = -1720 meV per atom; density = 4.302 g cm⁻³
1.0
-2.6411 2.6411 8.0533
2.6411 -2.6411 8.0533
2.6411 2.6411 -8.0533
Rb Ba Pa S
1 1 1 4
Cartesian
0.0000 0.0000 0.0000
0.0000 0.0000 11.5183
0.0000 0.0000 5.7847
0.0000 0.0000 3.1961
2.6411 0.0000 5.6217
0.0000 0.0000 8.3461
0.0000 2.6411 5.6217

# 7
RbBa2PaS5 (PBE, relaxed); spin magnetization = 0.00 μB per formula unit; energy relative to the elements, uncorrected = -1812 meV per atom; density = 4.140 g cm⁻³
1.0
-2.6127 3.8735 7.4453
2.6127 -3.8735 7.4453
2.6127 3.8735 -7.4453
Rb Ba Pa S
1 2 1 5
Cartesian
0.0000 0.0000 0.0000
2.6127 0.0000 4.2724
0.0000 3.8735 3.1729
0.0000 0.0000 7.4453
2.6127 2.0979 -1.9594
2.6127 2.0979 1.9594
0.0000 3.8735 0.0000
0.0000 1.7757 5.4858
0.0000 1.7757 9.4047

# 8
Rb3Ba2PaS6 (PBE, relaxed); spin magnetization = 0.00 μB per formula unit; energy relative to the elements, uncorrected = -1708 meV per atom; density = 3.992 g cm⁻³
1.0
3.8737 -6.7015 0.0000
3.8737 6.7015 0.0000
-2.6128 0.0000 7.6476
Rb Ba Pa S
3 2 1 6
Cartesian
0.0000 0.0000 0.0000
3.8737 2.2506 0.0000
3.8737 -2.2506 0.0000
2.5673 4.4687 3.8238
2.5673 -4.4687 3.8238
2.5673 0.0000 3.8238
1.4602 1.9239 2.2881
0.3518 0.0000 5.3432
1.4602 -1.9239 2.2881
3.6745 1.9239 5.3595
4.7829 0.0000 2.3043
3.6745 -1.9239 5.3595

# 9
Rb2BaPaSe4 (PBE, relaxed); spin magnetization = 1.00 μB per formula unit; energy relative to the elements, uncorrected = -1524 meV per atom; density = 4.944 g cm⁻³
1.0
7.9974 0.0000 0.0000
0.0000 4.4947 0.0000
-2.6030 0.0000 7.9904
Rb Ba Pa Se
2 1 1 4
Cartesian
0.0000 0.0000 0.0000
3.9987 2.2474 0.0000
-1.3015 2.2474 3.9952
2.6972 0.0000 3.9952
0.3659 0.0000 5.6322
1.5696 2.2474 2.4178
3.8248 2.2474 5.5726
5.0285 0.0000 2.3582

# 10
RbBaPaSe4 (PBE, relaxed); spin magnetization = 0.00 μB per formula unit; energy relative to the elements, uncorrected = -1564 meV per atom; density = 5.021 g cm⁻³
1.0
-2.7586 2.7586 8.3617
2.7586 -2.7586 8.3617
2.7586 2.7586 -8.3617
Rb Ba Pa Se
1 1 1 4
Cartesian
0.0000 0.0000 0.0000
0.0000 0.0000 12.0085
0.0000 0.0000 6.0282
0.0000 0.0000 3.3011
2.7586 0.0000 5.8765
0.0000 0.0000 8.7255
0.0000 2.7586 5.8765

# 11
Rb3Ba2PaSe6 (PBE, relaxed); spin magnetization = 0.00 μB per formula unit; energy relative to the elements, uncorrected = -1624 meV per atom; density = 4.634 g cm⁻³
1.0
4.0143 -6.9423 0.0000
4.0143 6.9423 0.0000
-2.7101 0.0000 7.9461
Rb Ba Pa Se
3 2 1 6
Cartesian
0.0000 0.0000 0.0000
4.0143 2.3608 0.0000
4.0143 -2.3608 0.0000
2.6592 4.6322 3.9730
2.6592 -4.6322 3.9730
2.6592 0.0000 3.9730
1.5011 2.0134 2.3511
0.3442 0.0000 5.5831
1.5011 -2.0134 2.3511
3.8173 2.0134 5.5950
4.9742 0.0000 2.3630
3.8173 -2.0134 5.5950

# 12
Rb2BaPaTe4 (PBE, relaxed); spin magnetization = 1.00 μB per formula unit; energy relative to the elements, uncorrected = -1198 meV per atom; density = 5.039 g cm⁻³
1.0
8.4828 0.0000 0.0000
0.0000 4.7820 0.0000
-2.7260 0.0000 8.5268
Rb Ba Pa Te
2 1 1 4
Cartesian
0.0000 0.0000 0.0000
4.2414 2.3910 0.0000
-1.3630 2.3910 4.2634
2.8784 0.0000 4.2634
0.3740 0.0000 6.0571
1.6686 2.3910 2.5505
4.0881 2.3910 5.9763
5.3828 0.0000 2.4697

# 13
BaPaRh2 (PBE, relaxed); spin magnetization = 0.00 μB per formula unit; energy = -7.01 eV per atom; density = 9.155 g cm⁻³
1.0
1.9759 1.1408 7.7005
-1.9759 1.1408 7.7005
0.0000 -2.2816 7.7005
Ba Pa Rh
1 1 2
Cartesian
0.0000 0.0000 0.0000
0.0000 0.0000 11.5508
0.0000 0.0000 5.3573
0.0000 0.0000 17.7443

# 14
BaPaRh2 (PBE, relaxed); spin magnetization = 0.00 μB per formula unit; energy = -7.08 eV per atom; density = 9.843 g cm⁻³
1.0
3.5133 0.0000 0.0000
0.0000 3.5133 0.0000
0.0000 0.0000 7.8475
Ba Pa Rh
1 1 2
Cartesian
0.0000 0.0000 0.0000
0.0000 0.0000 3.9238
1.7567 1.7567 2.4955
1.7567 1.7567 5.3520

# 15
BaPaRhS4 (PBE, relaxed); spin magnetization = 0.00 μB per formula unit; energy relative to the elements, uncorrected = -1361 meV per atom; density = 6.160 g cm⁻³
1.0
6.6101 0.0000 0.0000
0.0000 5.9204 0.0000
-2.4579 0.0000 8.2599
Ba Pa Rh S
2 2 2 8
Cartesian
0.5473 1.4801 3.6787
3.6048 4.4403 4.5812
-0.6834 1.4801 7.8108
4.8355 4.4403 0.4491
1.4028 4.4403 1.2656
2.7493 1.4801 6.9942
-1.8984 4.4403 7.4119
-0.4673 4.4403 2.8067
1.1702 3.0488 6.4842
1.1702 5.8318 6.4842
2.9819 0.0886 1.7756
2.9819 2.8716 1.7756
4.6194 1.4801 5.4532
6.0505 1.4801 0.8480

# 16
Ba2PaRhS5 (PBE, relaxed); spin magnetization = 0.79 μB per formula unit; energy relative to the elements, uncorrected = -1553 meV per atom; density = 5.421 g cm⁻³
1.0
2.0346 -8.8425 0.0000
2.0346 8.8425 0.0000
0.0000 0.0000 13.0927
Ba Pa Rh S
4 2 2 10
Cartesian
2.0346 6.7605 6.5463
2.0346 6.7001 11.1547
2.0346 -6.7001 4.6084
2.0346 -6.7605 0.0000
2.0346 5.5822 2.3472
2.0346 -5.5822 8.8935
2.0346 1.0459 7.7824
2.0346 -1.0459 1.2361
2.0346 8.2180 2.3499
2.0346 3.4268 10.7287
2.0346 3.3874 7.0605
2.0346 2.9444 2.2880
2.0346 0.0600 5.6286
2.0346 -0.0600 12.1749
2.0346 -2.9444 8.8344
2.0346 -3.3874 0.5142
2.0346 -3.4268 4.1824
2.0346 -8.2180 8.8962

# 17
BaPa2RhS8 (PBE, relaxed); spin magnetization = 0.00 μB per formula unit; energy relative to the elements, uncorrected = -1197 meV per atom; density = 5.919 g cm⁻³
1.0
6.0769 0.0000 0.0000
-3.0385 5.2628 0.0000
0.0000 0.0000 8.4103
Ba Pa Rh S
1 2 1 8
Cartesian
0.0000 0.0000 0.0000
0.0000 3.5085 3.2185
3.0385 1.7542 5.1918
0.0000 0.0000 4.2052
0.0000 1.8636 5.5918
-1.4245 4.3310 5.5918
0.0000 3.5085 0.7516
1.6139 0.9318 2.8185
1.4245 4.3310 5.5918
3.0385 1.7542 7.6587
4.4630 0.9318 2.8185
3.0385 3.3992 2.8185

# 18
BaPa2RhS7 (PBE, relaxed); spin magnetization = 0.00 μB per formula unit; energy relative to the elements, uncorrected = -1369 meV per atom; density = 5.633 g cm⁻³
1.0
-2.6126 2.6126 10.0065
2.6126 -2.6126 10.0065
2.6126 2.6126 -10.0065
Ba Pa Rh S
1 2 1 7
Cartesian
0.0000 0.0000 0.0000
0.0000 0.0000 7.3314
0.0000 0.0000 12.6816
0.0000 2.6126 5.0033
2.6126 0.0000 2.1311
0.0000 0.0000 4.8220
2.6126 0.0000 7.8754
0.0000 0.0000 10.0065
0.0000 2.6126 2.5924
0.0000 0.0000 15.1911
0.0000 2.6126 7.4141

# 19
BaPaSb2Rh5 (PBE, relaxed); spin magnetization = 0.00 μB per formula unit; energy relative to the elements, uncorrected = -389 meV per atom; density = 8.963 g cm⁻³
1.0
4.1664 0.0000 0.0000
0.0000 4.1664 0.0000
0.0000 0.0000 12.0217
Ba Pa Sb Rh
1 1 2 5
Cartesian
0.0000 0.0000 0.0000
2.0832 2.0832 6.0108
2.0832 2.0832 2.5773
2.0832 2.0832 9.4444
0.0000 2.0832 4.2357
0.0000 2.0832 7.7860
2.0832 0.0000 4.2357
2.0832 0.0000 7.7860
2.0832 2.0832 0.0000

# 20
Ba6PaS8 (PBE, relaxed); spin magnetization = 1.05 μB per formula unit; energy relative to the elements, uncorrected = -1927 meV per atom; density = 4.628 g cm⁻³
1.0
4.6613 2.6912 6.2527
-4.6613 2.6912 6.2527
0.0000 -5.3824 6.2527
Ba Pa S
6 1 8
Cartesian
-1.9872 -3.1005 7.8476
-3.6787 0.1707 10.9106
-1.6915 3.2712 7.8476
1.6915 -3.2712 10.9106
3.6787 -0.1707 7.8476
1.9872 3.1005 10.9106
0.0000 0.0000 9.3791
0.0000 0.0000 3.0112
-2.2762 0.0889 7.8231
-1.2151 -1.9268 10.9350
1.0612 -2.0157 7.8231
-1.0611 2.0157 10.9350
1.2150 1.9268 7.8232
2.2762 -0.0889 10.9350
0.0000 0.0000 15.7470

# 21
Ba2PaS4 (PBE, relaxed); spin magnetization = 1.01 μB per formula unit; energy relative to the elements, uncorrected = -1683 meV per atom; density = 4.292 g cm⁻³
1.0
7.7716 0.0000 0.0000
0.0000 7.4754 0.0000
-2.7433 0.0000 8.4427
Ba Pa S
4 2 8
Cartesian
1.2436 1.8688 0.3975
0.3209 1.8688 4.6454
4.7075 5.6065 3.7973
3.7848 5.6065 8.0452
-0.0608 5.6065 6.9140
5.0891 1.8688 1.5287
-1.8204 3.7802 6.3184
-1.8204 7.4329 6.3184
1.9734 5.6065 5.3904
3.5299 5.6065 0.8809
1.4984 1.8688 7.5618
3.0549 1.8688 3.0523
6.8487 0.0425 2.1243
6.8487 3.6952 2.1243